Record 1
A relaxed BePS2N crystal, computed with GGA-PBEsol.

Properties
Formation energy (no corrections)   0.67 eV per atom
Total magnetization   0.00 μB/atom
Volume   62.8 Å³/cell

```
data_BePS2N
_chemical_formula_sum 'Be1 P1 S2 N1'
_cell_length_a 4.472
_cell_length_b 4.472
_cell_length_c 3.139
_cell_angle_alpha 90.00
_cell_angle_beta 90.00
_cell_angle_gamma 90.00
_symmetry_space_group_name_H-M 'P 4/m m m'
_symmetry_Int_Tables_number 123
_symmetry_space_group_name_Hall '-P 4 2'
loop_
_atom_site_label
_atom_site_type_symbol
_atom_site_fract_x
_atom_site_fract_y
_atom_site_fract_z
Be1 Be 0.000 0.000 0.000
P1 P 0.500 0.500 0.500
S1 S 0.000 0.500 0.000
N1 N 0.000 0.000 0.500
```

---

Record 2
A relaxed Cd2BiBAs crystal, computed with GGA-PBEsol.

Properties
Total magnetization   0.00 μB/atom
Energy of formation   375 kJ/mol of formula units
Volume   115.6 Å³/cell

```
data_Cd2BiBAs
_chemical_formula_sum 'Cd2 Bi1 B1 As1'
_cell_length_a 5.470
_cell_length_b 5.470
_cell_length_c 3.863
_cell_angle_alpha 90.00
_cell_angle_beta 90.00
_cell_angle_gamma 90.00
_symmetry_space_group_name_H-M 'P 4/m m m'
_symmetry_Int_Tables_number 123
_symmetry_space_group_name_Hall '-P 4 2'
loop_
_atom_site_label
_atom_site_type_symbol
_atom_site_fract_x
_atom_site_fract_y
_atom_site_fract_z
Cd1 Cd 0.000 0.500 0.000
Bi1 Bi 0.000 0.000 0.500
B1 B 0.500 0.500 0.500
As1 As 0.500 0.500 0.000
```

---

Record 3
A relaxed PtRh4 crystal, computed with GGA-PBEsol.

Properties
Total magnetization   0.00 μB/atom
Energy of formation   -8 kJ/mol of formula units
Volume   137.4 Å³/cell

```
data_PtRh4
_chemical_formula_sum 'Pt2 Rh8'
_cell_length_a 6.013
_cell_length_b 6.013
_cell_length_c 3.802
_cell_angle_alpha 90.00
_cell_angle_beta 90.00
_cell_angle_gamma 90.00
_symmetry_space_group_name_H-M 'I 4/m'
_symmetry_Int_Tables_number 87
_symmetry_space_group_name_Hall '-I 4'
loop_
_atom_site_label
_atom_site_type_symbol
_atom_site_fract_x
_atom_site_fract_y
_atom_site_fract_z
Pt1 Pt 0.000 0.000 0.000
Rh1 Rh 0.098 0.302 0.500
```